1.
Here is a relaxed structure of PmHf2Ni9 from the Alexandria database. Energies are from GGA-PBE.

Output
Its calculated formation energy is -0.4314 eV/atom. For the total energy, the calculation gives -245.6 eV/cell. The calculation puts the volume at 13.775 A^3/atom. Its magnetization is 0.0 μB/f.u.

Structure (CIF):
```
data_PmHf2Ni9
_chemical_formula_sum 'Pm3 Hf6 Ni27'
_cell_length_a 4.9053
_cell_length_b 4.9053
_cell_length_c 23.7968
_cell_angle_alpha 90.00
_cell_angle_beta 90.00
_cell_angle_gamma 120.00
_space_group_name_H-M_alt 'R -3 m'
_space_group_IT_number 166
_space_group_name_Hall '-R 3 2"'
loop_
_atom_site_label
_atom_site_fract_x
_atom_site_fract_y
_atom_site_fract_z
Pm1 0.0000 0.0000 0.0000
Hf1 0.0000 0.0000 0.1408
Ni1 0.0000 0.0000 0.3336
Ni2 0.0000 0.0000 0.5000
Ni3 0.0053 0.5026 0.9135
```


2.
Here is a relaxed structure of PmHf2Ni from the Alexandria database. Energies are from GGA-PBE.

Output
Its calculated formation energy is -0.0481 eV/atom. For the total energy, the calculation gives -30.6 eV/cell. The calculation puts the volume at 21.269 A^3/atom. Its magnetization is 0.0 μB/f.u.

Structure (CIF):
```
data_PmHf2Ni
_chemical_formula_sum 'Pm1 Hf2 Ni1'
_cell_length_a 3.281
_cell_length_b 3.281
_cell_length_c 7.904
_cell_angle_alpha 90.00
_cell_angle_beta 90.00
_cell_angle_gamma 90.00
_space_group_name_H-M_alt 'P 4/m m m'
_space_group_IT_number 123
_space_group_name_Hall '-P 4 2'
loop_
_atom_site_label
_atom_site_fract_x
_atom_site_fract_y
_atom_site_fract_z
Pm1 0.000 0.000 0.000
Hf1 0.500 0.500 0.309
Ni1 0.000 0.000 0.500
```


3.
Here is a relaxed structure of PmHfNi3 from the Alexandria database. Energies are from GGA-PBE.

Output
Its calculated formation energy is -0.3704 eV/atom. For the total energy, the calculation gives -135.6 eV/cell. The calculation puts the volume at 17.404 A^3/atom. Its magnetization is 0.0 μB/f.u.

Structure (CIF):
```
data_PmHfNi3
_chemical_formula_sum 'Pm4 Hf4 Ni12'
_cell_length_a 3.635
_cell_length_b 24.067
_cell_length_c 3.979
_cell_angle_alpha 90.00
_cell_angle_beta 90.00
_cell_angle_gamma 90.00
_space_group_name_H-M_alt 'C m c m'
_space_group_IT_number 63
_space_group_name_Hall '-C 2c 2'
loop_
_atom_site_label
_atom_site_fract_x
_atom_site_fract_y
_atom_site_fract_z
Pm1 0.000 0.075 0.250
Hf1 0.000 0.208 0.750
Ni1 0.000 0.314 0.750
Ni2 0.000 0.372 0.250
Ni3 0.000 0.473 0.250
```


4.
Here is a relaxed structure of Pm2HfNi from the Alexandria database. Energies are from GGA-PBE.

Output
Its calculated formation energy is 0.3966 eV/atom. For the total energy, the calculation gives -70.9 eV/cell. The calculation puts the volume at 25.784 A^3/atom. Its magnetization is 0.0 μB/f.u.

Structure (CIF):
```
data_Pm2HfNi
_chemical_formula_sum 'Pm6 Hf3 Ni3'
_cell_length_a 3.3938
_cell_length_b 3.3938
_cell_length_c 31.0179
_cell_angle_alpha 90.00
_cell_angle_beta 90.00
_cell_angle_gamma 120.00
_space_group_name_H-M_alt 'R -3 m'
_space_group_IT_number 166
_space_group_name_Hall '-R 3 2"'
loop_
_atom_site_label
_atom_site_fract_x
_atom_site_fract_y
_atom_site_fract_z
Pm1 0.0000 0.0000 0.1038
Hf1 0.0000 0.0000 0.0000
Ni1 0.0000 0.0000 0.5000
```


5.
Here is a relaxed structure of Pm2Hf2Ni15 from the Alexandria database. Energies are from GGA-PBE.

Output
Its calculated formation energy is -0.2886 eV/atom. For the total energy, the calculation gives -364.8 eV/cell. The calculation puts the volume at 13.778 A^3/atom. Its magnetization is 0.1 μB/f.u.

Structure (CIF):
```
data_Pm2Hf2Ni15
_chemical_formula_sum 'Pm6 Hf6 Ni45'
_cell_length_a 8.4726
_cell_length_b 8.4726
_cell_length_c 12.6329
_cell_angle_alpha 90.00
_cell_angle_beta 90.00
_cell_angle_gamma 120.00
_space_group_name_H-M_alt 'R -3 m'
_space_group_IT_number 166
_space_group_name_Hall '-R 3 2"'
loop_
_atom_site_label
_atom_site_fract_x
_atom_site_fract_y
_atom_site_fract_z
Pm1 0.0000 0.0000 0.1445
Hf1 0.0000 0.0000 0.3918
Ni1 0.0000 0.2964 0.5000
Ni2 0.0000 0.5000 0.0000
Ni3 0.0011 0.5006 0.6555
```


6.
Here is a relaxed structure of PmHfNiRh from the Alexandria database. Energies are from GGA-PBE.

Output
Its calculated formation energy is -0.4270 eV/atom. For the total energy, the calculation gives -118.2 eV/cell. The calculation puts the volume at 19.082 A^3/atom. Its magnetization is 0.0 μB/f.u.

Structure (CIF):
```
data_PmHfNiRh
_chemical_formula_sum 'Pm4 Hf4 Ni4 Rh4'
_cell_length_a 6.734
_cell_length_b 6.734
_cell_length_c 6.734
_cell_angle_alpha 90.00
_cell_angle_beta 90.00
_cell_angle_gamma 90.00
_space_group_name_H-M_alt 'F -4 3 m'
_space_group_IT_number 216
_space_group_name_Hall 'F -4 2 3'
loop_
_atom_site_label
_atom_site_fract_x
_atom_site_fract_y
_atom_site_fract_z
Pm1 0.000 0.000 0.000
Hf1 0.000 0.000 0.500
Ni1 0.250 0.250 0.750
Rh1 0.250 0.250 0.250
```


7.
Here is a relaxed structure of PmHfTcNi from the Alexandria database. Energies are from GGA-PBE.

Output
Its calculated formation energy is -0.1525 eV/atom. For the total energy, the calculation gives -125.8 eV/cell. The calculation puts the volume at 18.782 A^3/atom. Its magnetization is 0.0 μB/f.u.

Structure (CIF):
```
data_PmHfTcNi
_chemical_formula_sum 'Pm4 Hf4 Tc4 Ni4'
_cell_length_a 6.698
_cell_length_b 6.698
_cell_length_c 6.698
_cell_angle_alpha 90.00
_cell_angle_beta 90.00
_cell_angle_gamma 90.00
_space_group_name_H-M_alt 'F -4 3 m'
_space_group_IT_number 216
_space_group_name_Hall 'F -4 2 3'
loop_
_atom_site_label
_atom_site_fract_x
_atom_site_fract_y
_atom_site_fract_z
Pm1 0.000 0.000 0.000
Hf1 0.000 0.000 0.500
Tc1 0.250 0.250 0.250
Ni1 0.250 0.250 0.750
```


8.
Here is a relaxed structure of PrHf2Ni9 from the Alexandria database. Energies are from GGA-PBE.

Output
Its calculated formation energy is -0.4127 eV/atom. For the total energy, the calculation gives -245.0 eV/cell. The calculation puts the volume at 13.887 A^3/atom. Its magnetization is 0.0 μB/f.u.

Structure (CIF):
```
data_PrHf2Ni9
_chemical_formula_sum 'Pr3 Hf6 Ni27'
_cell_length_a 4.9232
_cell_length_b 4.9232
_cell_length_c 23.8168
_cell_angle_alpha 90.00
_cell_angle_beta 90.00
_cell_angle_gamma 120.00
_space_group_name_H-M_alt 'R -3 m'
_space_group_IT_number 166
_space_group_name_Hall '-R 3 2"'
loop_
_atom_site_label
_atom_site_fract_x
_atom_site_fract_y
_atom_site_fract_z
Pr1 0.0000 0.0000 0.0000
Hf1 0.0000 0.0000 0.1412
Ni1 0.0000 0.0000 0.3336
Ni2 0.0000 0.0000 0.5000
Ni3 0.0055 0.5028 0.9131
```


9.
Here is a relaxed structure of PrHfNi2 from the Alexandria database. Energies are from GGA-PBE.

Output
Its calculated formation energy is -0.2994 eV/atom. For the total energy, the calculation gives -82.5 eV/cell. The calculation puts the volume at 20.203 A^3/atom. Its magnetization is 0.0 μB/f.u.

Structure (CIF):
```
data_PrHfNi2
_chemical_formula_sum 'Pr3 Hf3 Ni6'
_cell_length_a 4.3785
_cell_length_b 4.3785
_cell_length_c 14.6020
_cell_angle_alpha 90.00
_cell_angle_beta 90.00
_cell_angle_gamma 120.00
_space_group_name_H-M_alt 'R -3 m'
_space_group_IT_number 166
_space_group_name_Hall '-R 3 2"'
loop_
_atom_site_label
_atom_site_fract_x
_atom_site_fract_y
_atom_site_fract_z
Pr1 0.0000 0.0000 0.0000
Hf1 0.0000 0.0000 0.5000
Ni1 0.0000 0.0000 0.2059
```


10.
Here is a relaxed structure of PrHf2Ni from the Alexandria database. Energies are from GGA-PBE.

Output
Its calculated formation energy is -0.0308 eV/atom. For the total energy, the calculation gives -30.6 eV/cell. The calculation puts the volume at 21.606 A^3/atom. Its magnetization is 0.0 μB/f.u.

Structure (CIF):
```
data_PrHf2Ni
_chemical_formula_sum 'Pr1 Hf2 Ni1'
_cell_length_a 3.291
_cell_length_b 3.291
_cell_length_c 7.978
_cell_angle_alpha 90.00
_cell_angle_beta 90.00
_cell_angle_gamma 90.00
_space_group_name_H-M_alt 'P 4/m m m'
_space_group_IT_number 123
_space_group_name_Hall '-P 4 2'
loop_
_atom_site_label
_atom_site_fract_x
_atom_site_fract_y
_atom_site_fract_z
Pr1 0.000 0.000 0.000
Hf1 0.500 0.500 0.312
Ni1 0.000 0.000 0.500
```